! TaZn2Cd, relaxed, DFT GGA-PBE; values from VASP
! excess energy over the best structure of this formula in the dataset	0.097	eV/atom
! spin magnetization	0.0	μB per formula unit
! energy relative to the elements	159	meV per atom
! volume	17.26	Å³ per atom
! E	-3.67	eV per atom
&SYSTEM
  ibrav = 0, nat = 4, ntyp = 3
/
ATOMIC_SPECIES
Zn 65.41 Zn.upf
Ta 180.95 Ta.upf
Cd 112.41 Cd.upf
CELL_PARAMETERS angstrom
5.097 -0.009 0.000
-1.587 4.843 0.000
0.000 0.000 2.799
ATOMIC_POSITIONS angstrom
Zn 1.755 2.417 0.000
Zn 0.000 0.000 0.000
Ta -0.793 2.422 1.400
Cd 2.548 -0.004 1.400